# 1
This record from the Alexandria database describes crystalline HgP2Pb at its relaxed geometry. The functional is PBE-GGA.

Summary:
**M_tot**: 0.00 Bohr magnetons per cell
**Formation energy from the elements**: 0.2261 eV/atom
**V**: 27.82 Å³/atom
**Excess energy over the best structure of this formula in the dataset**: 0.102 eV/atom

Structure (POSCAR):
```
HgP2Pb
1.0
-5.7419 0.0704 1.9371
-0.2426 -6.0347 -0.4996
-1.0694 -3.5330 6.4385
P Pb Hg
4 2 2
Cartesian
-1.1935 -4.6455 1.5587 P
-3.8295 -1.5943 2.7387 P
-3.0486 -4.9461 5.3630 P
-6.0361 -7.8088 6.0916 P
0.0000 0.0000 0.0000 Pb
-4.9018 -3.2223 4.5471 Pb
-2.1521 -6.2749 3.3288 Hg
-2.9922 -2.9822 0.7187 Hg
```

***

# 2
This record from the Alexandria database describes crystalline YPSe2 at its relaxed geometry. The functional is PBE-GGA.

Summary:
**M_tot**: 0.00 Bohr magnetons per cell
**V**: 28.72 Å³/atom
**Formation energy from raw total energies**: -2.4 eV per formula unit

Structure (POSCAR):
```
YPSe2
1.0
2.3056 0.0000 8.3186
-1.1528 1.9967 8.3186
-1.1528 -1.9967 8.3186
Se Y P
2 1 1
Cartesian
0.0000 0.0000 2.4868 Se
0.0000 0.0000 22.4691 Se
0.0000 0.0000 12.4780 Y
0.0000 0.0000 0.0000 P
```

***

# 3
This record from the Alexandria database describes crystalline Tb4Ge6Ru7 at its relaxed geometry. The functional is PBE-GGA.

Summary:
**M_tot**: 0.00 Bohr magnetons per cell
**Formation energy from the elements**: -0.6116 eV/atom
**V**: 17.38 Å³/atom

Structure (POSCAR):
```
Tb4Ge6Ru7
1.0
6.8513 0.0000 -2.4223
-3.4257 5.9334 -2.4223
0.0000 0.0000 7.2669
Ge Tb Ru
6 4 7
Cartesian
-1.0852 1.8797 1.5347 Ge
-2.3404 4.0538 3.3099 Ge
1.0852 1.8797 -1.5347 Ge
4.6809 0.0000 3.3099 Ge
2.3405 4.0538 -3.3099 Ge
2.1704 0.0000 1.5347 Ge
0.0000 0.0000 3.6335 Tb
-1.7128 2.9667 -1.2112 Tb
1.7128 2.9667 1.2112 Tb
3.4257 0.0000 -1.2112 Tb
-0.8564 4.4501 1.2112 Ru
0.8564 4.4501 -1.2112 Ru
0.0000 2.9667 3.6335 Ru
4.2821 1.4834 1.2112 Ru
3.4257 2.9667 -1.2112 Ru
0.0000 0.0000 0.0000 Ru
2.5693 1.4834 3.6335 Ru
```

***

# 4
This record from the Alexandria database describes crystalline Pr2Ga4Ni5 at its relaxed geometry. The functional is PBE-GGA.

Summary:
**M_tot**: 0.00 Bohr magnetons per cell
**Formation energy from the elements**: -0.4835 eV/atom
**V**: 16.92 Å³/atom

Structure (POSCAR):
```
Pr2Ga4Ni5
1.0
5.4166 0.0000 0.0000
2.7083 4.6835 0.0000
2.7083 0.0000 7.3365
Pr Ga Ni
2 4 5
Cartesian
2.7083 0.0000 5.3450 Pr
5.4166 0.0000 1.9915 Pr
5.4166 3.1854 1.8742 Ga
2.7083 1.4981 1.8742 Ga
5.4166 1.4981 5.4622 Ga
8.1249 3.1854 5.4622 Ga
4.0625 2.3417 0.0000 Ni
6.7708 2.3417 3.6682 Ni
2.7083 0.0000 0.0000 Ni
1.3542 2.3417 0.0000 Ni
4.0625 2.3417 3.6682 Ni
```

***

# 5
This record from the Alexandria database describes crystalline Sm5BTe4 at its relaxed geometry. The functional is PBE-GGA.

Summary:
**M_tot**: 0.00 Bohr magnetons per cell
**V**: 29.41 Å³/atom
**Formation energy from raw total energies**: -11.6 eV per formula unit

Structure (POSCAR):
```
Sm5BTe4
1.0
-5.9890 1.2129 -0.9353
-4.3703 -6.1518 -0.4224
-4.0081 0.8585 6.3498
Sm B Te
5 1 4
Cartesian
-6.5818 0.1924 1.4459 Sm
-7.8124 -4.2674 3.5421 Sm
-2.8099 0.5691 -0.4388 Sm
-4.0709 -3.7525 0.6805 Sm
-10.3234 -0.3225 4.3075 Sm
-0.1671 0.0338 -0.0261 B
-10.6748 -3.2943 2.7516 Te
-7.0506 -2.8147 0.5951 Te
-7.3297 -1.2631 4.3950 Te
-3.7055 -0.7836 2.2385 Te
```

***

# 6
This record from the Alexandria database describes crystalline CuRh2Au at its relaxed geometry. The functional is PBE-GGA.

Summary:
**M_tot**: 2.00 Bohr magnetons per cell
**Formation energy from the elements**: 0.2597 eV/atom
**V**: 15.02 Å³/atom
**Excess energy over the best structure of this formula in the dataset**: 0.198 eV/atom

Structure (POSCAR):
```
CuRh2Au
1.0
0.0000 3.1086 3.1086
3.1086 0.0000 3.1086
3.1086 3.1086 0.0000
Au Rh Cu
1 2 1
Cartesian
3.1086 3.1086 3.1086 Au
4.6628 4.6628 4.6628 Rh
1.5543 1.5543 1.5543 Rh
0.0000 0.0000 0.0000 Cu
```

***

# 7
This record from the Alexandria database describes crystalline Ho4TcTe at its relaxed geometry. The functional is PBE-GGA.

Summary:
**M_tot**: 0.00 Bohr magnetons per cell
**V**: 34.65 Å³/atom
**Formation energy from raw total energies**: -1.4 eV per formula unit
**Excess energy over the best structure of this formula in the dataset**: 0.291 eV/atom

Structure (POSCAR):
```
Ho4TcTe
1.0
-4.2582 2.4182 -2.1213
-3.9825 -5.4857 8.4538
4.5928 8.2810 0.2206
Ho Tc Te
8 2 2
Cartesian
1.1037 2.2024 0.2952 Ho
2.1255 6.5205 3.1664 Ho
-3.8295 1.6939 2.9054 Ho
-5.7735 -1.3071 3.3867 Ho
-3.3677 -0.6664 6.0005 Ho
-4.7516 3.0111 6.2579 Ho
-0.2803 5.8799 0.5526 Ho
0.1816 3.5195 3.6477 Ho
1.7702 4.4199 1.4850 Tc
-5.4182 0.7935 5.0681 Tc
-0.7655 0.7849 2.4315 Te
-2.8824 4.4285 4.1216 Te
```

***

# 8
This record from the Alexandria database describes crystalline Be2VSnP at its relaxed geometry. The functional is PBE-GGA.

Summary:
**M_tot**: 0.50 Bohr magnetons per cell
**Formation energy from the elements**: 1.5332 eV/atom
**V**: 20.85 Å³/atom

Structure (POSCAR):
```
Be2VSnP
1.0
4.2945 0.0000 0.0000
0.0000 5.6516 0.0000
0.0000 0.0000 4.2945
P Be Sn V
1 2 1 1
Cartesian
0.0000 2.8258 0.0000 P
2.1472 0.0000 0.0000 Be
0.0000 0.0000 2.1472 Be
0.0000 0.0000 0.0000 Sn
2.1472 2.8258 2.1472 V
```

***

# 9
This record from the Alexandria database describes crystalline MgCdCl at its relaxed geometry. The functional is PBE-GGA.

Summary:
**M_tot**: 0.00 Bohr magnetons per cell
**V**: 28.33 Å³/atom
**Formation energy from raw total energies**: -0.8 eV per formula unit
**Excess energy over the best structure of this formula in the dataset**: 0.451 eV/atom

Structure (POSCAR):
```
MgCdCl
1.0
4.9351 0.0000 0.0000
2.4675 4.2739 0.0000
2.4675 1.4246 4.0295
Cl Cd Mg
1 1 1
Cartesian
4.9351 2.8493 2.0147 Cl
0.0000 0.0000 0.0000 Cd
7.4026 4.2739 3.0221 Mg
```

***

# 10
This record from the Alexandria database describes crystalline K2AgOs at its relaxed geometry. The functional is PBE-GGA.

Summary:
**M_tot**: 1.58 Bohr magnetons per cell
**Formation energy from the elements**: 1.2796 eV/atom
**V**: 24.21 Å³/atom
**Excess energy over the best structure of this formula in the dataset**: 0.415 eV/atom

Structure (POSCAR):
```
K2AgOs
1.0
5.3575 0.0000 0.0000
0.0000 4.2518 0.0000
0.0000 0.0000 4.2518
K Ag Os
2 1 1
Cartesian
0.0000 2.1259 2.1259 K
0.0000 0.0000 0.0000 K
2.6787 0.0000 2.1259 Ag
2.6787 2.1259 0.0000 Os
```